1.
## Ca2InCu (PBE)

Data for a geometry-optimized Ca2InCu structure.

a = 4.587 Å, b = 4.201 Å, c = 6.141 Å
α = 70.14°, β = 90.00°, γ = 90.00°
Atoms (fractional coordinates):
Ca  0.000  0.978  0.920
Ca  0.500  0.272  0.330
Cu  0.000  0.689  0.496
In  0.500  0.561  0.754

SG: No. 6
Raw total energy in eV per cell: -11.779
ΔE_f in eV per atom: -0.24

2.
## Rb3Na2MgF9 (PBE)

Data for a geometry-optimized Rb3Na2MgF9 structure.

a = 6.109 Å, b = 6.109 Å, c = 7.716 Å
α = 90.00°, β = 90.00°, γ = 120.00°
Site moments in Bohr magnetons follow the coordinates.
Atoms (fractional coordinates):
Rb  0.333  0.667  0.675  0.00
Rb  0.000  0.000  0.000  0.00
Rb  0.667  0.333  0.325  0.00
Na  0.333  0.667  0.188  0.00
Na  0.667  0.333  0.812  0.00
Mg  0.000  0.000  0.500  0.00
F  0.846  0.154  0.649  0.17
F  0.846  0.692  0.649  0.17
F  0.308  0.154  0.649  0.17
F  0.692  0.846  0.351  0.17
F  0.154  0.308  0.351  0.17
F  0.154  0.846  0.351  0.17
F  0.500  0.000  0.000  0.28
F  0.000  0.500  0.000  0.28
F  0.500  0.500  0.000  0.28

SG: No. 164
Raw total energy in eV per cell: -62.071
ΔE_f (raw) in eV per formula unit: -38.1

3.
## HfNbIn2C (PBE)

Data for a geometry-optimized HfNbIn2C structure.

a = 5.477 Å, b = 5.477 Å, c = 4.072 Å
α = 90.00°, β = 90.00°, γ = 90.00°
Atoms (fractional coordinates):
Nb  0.500  0.500  0.500
Hf  0.000  0.000  0.000
C  0.000  0.000  0.500
In  0.000  0.500  0.000
In  0.500  0.000  0.000

SG: No. 123
Raw total energy in eV per cell: -27.278
ΔE_f in eV per atom: 1.49

4.
## La2ZnGeC (PBE)

Data for a geometry-optimized La2ZnGeC structure.

a = 5.343 Å, b = 5.343 Å, c = 3.939 Å
α = 90.00°, β = 90.00°, γ = 90.00°
Atoms (fractional coordinates):
C  0.000  0.000  0.000
Ge  0.500  0.500  0.500
Zn  0.000  0.000  0.500
La  0.000  0.500  0.000
La  0.500  0.000  0.000

SG: No. 123
Raw total energy in eV per cell: -26.587
ΔE_f in eV per atom: -0.32

5.
## AcAgP4 (PBE)

Data for a geometry-optimized AcAgP4 structure.

a = 5.532 Å, b = 5.532 Å, c = 5.532 Å
α = 60.00°, β = 60.00°, γ = 60.00°
Atoms (fractional coordinates):
P  0.642  0.642  0.073
P  0.642  0.073  0.642
P  0.642  0.642  0.642
P  0.073  0.642  0.642
Ac  0.250  0.250  0.250
Ag  0.000  0.000  0.000

SG: No. 216
Raw total energy in eV per cell: -29.084
ΔE_f in eV per atom: -0.08

6.
## Pm2Dy6Ho3Th (PBE)

Data for a geometry-optimized Pm2Dy6Ho3Th structure.

a = 6.171 Å, b = 6.171 Å, c = 11.783 Å
α = 95.01°, β = 95.01°, γ = 119.95°
Atoms (fractional coordinates):
Pm  0.333  0.667  0.000
Pm  0.667  0.333  0.000
Dy  0.916  0.586  0.749
Dy  0.755  0.755  0.251
Dy  0.084  0.414  0.251
Dy  0.586  0.916  0.749
Dy  0.245  0.245  0.749
Dy  0.414  0.084  0.251
Ho  0.167  0.833  0.500
Ho  0.833  0.167  0.500
Ho  0.500  0.500  0.500
Th  0.000  0.000  0.000

SG: No. 12
Raw total energy in eV per cell: -57.920
ΔE_f in eV per atom: 0.03

7.
## CrIr3Se (PBE)

Data for a geometry-optimized CrIr3Se structure.

a = 4.515 Å, b = 4.515 Å, c = 4.515 Å
α = 90.00°, β = 90.00°, γ = 90.00°
Atoms (fractional coordinates):
Cr  0.000  0.000  0.000
Ir  0.000  0.500  0.000
Ir  0.000  0.000  0.500
Ir  0.500  0.000  0.000
Se  0.500  0.500  0.500

SG: No. 221
Raw total energy in eV per cell: -32.410
ΔE_f (raw) in eV per formula unit: 7.3

8.
## MnTl2PtPb (PBE)

Data for a geometry-optimized MnTl2PtPb structure.

a = 5.904 Å, b = 5.127 Å, c = 5.904 Å
α = 90.00°, β = 90.00°, γ = 90.00°
Site moments in Bohr magnetons follow the coordinates.
Atoms (fractional coordinates):
Pb  0.000  0.000  0.000  0.03
Tl  0.000  0.000  0.500  0.00
Tl  0.500  0.000  0.000  -0.02
Mn  0.500  0.500  0.500  4.53
Pt  0.000  0.500  0.000  0.10

SG: No. 123
Raw total energy in eV per cell: -18.843
ΔE_f in eV per atom: 0.96

9.
## MgTi3F (PBE)

Data for a geometry-optimized MgTi3F structure.

a = 4.284 Å, b = 4.284 Å, c = 4.284 Å
α = 90.00°, β = 90.00°, γ = 90.00°
Atoms (fractional coordinates):
Mg  0.500  0.500  0.500
F  0.000  0.000  0.000
Ti  0.000  0.500  0.000
Ti  0.000  0.000  0.500
Ti  0.500  0.000  0.000

SG: No. 221
Raw total energy in eV per cell: -29.402
ΔE_f (raw) in eV per formula unit: -2.3

10.
## LiSbTe2As (PBE)

Data for a geometry-optimized LiSbTe2As structure.

a = 5.109 Å, b = 5.109 Å, c = 4.846 Å
α = 90.00°, β = 90.00°, γ = 90.00°
Atoms (fractional coordinates):
Sb  0.000  0.000  0.500
As  0.500  0.500  0.500
Te  0.000  0.500  0.000
Te  0.500  0.000  0.000
Li  0.000  0.000  0.000

SG: No. 123
Raw total energy in eV per cell: -14.715
ΔE_f (raw) in eV per formula unit: 2.3

11.
## BiOs (PBE)

Data for a geometry-optimized BiOs structure.

a = 8.160 Å, b = 8.160 Å, c = 8.160 Å
α = 90.00°, β = 90.00°, γ = 90.00°
Atoms (fractional coordinates):
Bi  0.302  0.302  0.302
Bi  0.302  0.698  0.698
Bi  0.698  0.302  0.698
Bi  0.698  0.698  0.302
Bi  0.802  0.802  0.802
Bi  0.802  0.198  0.198
Bi  0.198  0.802  0.198
Bi  0.198  0.198  0.802
Os  0.116  0.116  0.116
Os  0.116  0.884  0.884
Os  0.884  0.116  0.884
Os  0.884  0.884  0.116
Os  0.616  0.616  0.616
Os  0.616  0.384  0.384
Os  0.384  0.616  0.384
Os  0.384  0.384  0.616

SG: No. 217
Raw total energy in eV per cell: -103.959
ΔE_f in eV per atom: 1.06

12.
## AlPtSe2 (PBE)

Data for a geometry-optimized AlPtSe2 structure.

a = 4.690 Å, b = 4.690 Å, c = 3.222 Å
α = 90.00°, β = 90.00°, γ = 89.99°
Atoms (fractional coordinates):
Se  0.000  0.000  0.000
Se  0.500  0.500  0.000
Pt  0.000  0.500  0.500
Al  0.500  0.000  0.500

SG: No. 123
Raw total energy in eV per cell: -16.324
ΔE_f (raw) in eV per formula unit: 0.4

13.
## LiBMo3 (PBE)

Data for a geometry-optimized LiBMo3 structure.

a = 4.204 Å, b = 4.204 Å, c = 4.204 Å
α = 90.00°, β = 90.00°, γ = 90.00°
Atoms (fractional coordinates):
Mo  0.000  0.500  0.000
Mo  0.000  0.000  0.500
Mo  0.500  0.000  0.000
B  0.000  0.000  0.000
Li  0.500  0.500  0.500

SG: No. 221
Raw total energy in eV per cell: -38.759
ΔE_f in eV per atom: 0.47

14.
## LaNdErAg (PBE)

Data for a geometry-optimized LaNdErAg structure.

a = 3.690 Å, b = 3.690 Å, c = 8.795 Å
α = 90.00°, β = 90.00°, γ = 90.00°
Atoms (fractional coordinates):
La  0.000  0.000  0.080
Nd  0.500  0.500  0.781
Er  0.500  0.500  0.368
Ag  0.000  0.000  0.555

SG: No. 99
Raw total energy in eV per cell: -17.590
ΔE_f in eV per atom: -0.12

15.
## SrLa2TiGa (PBE)

Data for a geometry-optimized SrLa2TiGa structure.

a = 5.489 Å, b = 5.881 Å, c = 5.489 Å
α = 90.00°, β = 90.00°, γ = 90.00°
Atoms (fractional coordinates):
Sr  0.000  0.500  0.000
Ti  0.000  0.000  0.000
Ga  0.500  0.500  0.500
La  0.000  0.000  0.500
La  0.500  0.000  0.000

SG: No. 123
Raw total energy in eV per cell: -19.893
ΔE_f in eV per atom: 0.51

16.
## NpMn5Si3 (PBE)

Data for a geometry-optimized NpMn5Si3 structure.

a = 4.083 Å, b = 6.528 Å, c = 9.505 Å
α = 90.00°, β = 90.00°, γ = 108.22°
Site moments in Bohr magnetons follow the coordinates.
Atoms (fractional coordinates):
Np  0.761  0.522  0.750  -1.36
Np  0.239  0.478  0.250  -1.36
Mn  0.801  0.601  0.515  0.31
Mn  0.199  0.399  0.015  0.31
Mn  0.000  0.000  0.500  2.49
Mn  0.000  0.000  0.000  2.49
Mn  0.409  0.818  0.116  1.23
Mn  0.591  0.182  0.884  1.23
Mn  0.591  0.182  0.616  1.23
Mn  0.801  0.601  0.985  0.31
Mn  0.199  0.399  0.485  0.31
Mn  0.409  0.818  0.384  1.23
Si  0.393  0.787  0.879  -0.02
Si  0.916  0.832  0.250  -0.06
Si  0.393  0.787  0.621  -0.02
Si  0.607  0.213  0.379  -0.02
Si  0.084  0.168  0.750  -0.06
Si  0.607  0.213  0.121  -0.02

SG: No. 63
Raw total energy in eV per cell: -152.878
ΔE_f (raw) in eV per formula unit: -1.4

17.
## TbY2Ho7 (PBE)

Data for a geometry-optimized TbY2Ho7 structure.

a = 3.445 Å, b = 14.918 Å, c = 14.918 Å
α = 155.23°, β = 90.00°, γ = 90.00°
Atoms (fractional coordinates):
Tb  0.000  0.000  0.000
Y  0.500  0.791  0.209
Y  0.500  0.209  0.791
Ho  0.000  0.687  0.313
Ho  0.000  0.313  0.687
Ho  0.500  0.144  0.343
Ho  0.500  0.856  0.657
Ho  0.500  0.343  0.144
Ho  0.500  0.657  0.856
Ho  0.500  0.500  0.500

SG: No. 65
Raw total energy in eV per cell: -47.541
ΔE_f in eV per atom: 0.21

18.
## HoI2Cl (PBE)

Data for a geometry-optimized HoI2Cl structure.

a = 3.856 Å, b = 7.559 Å, c = 7.559 Å
α = 60.93°, β = 75.20°, γ = 75.20°
Atoms (fractional coordinates):
Ho  0.750  0.894  0.606
I  0.088  0.896  0.927
I  0.412  0.573  0.604
Cl  0.250  0.136  0.364

SG: No. 44
Raw total energy in eV per cell: -16.001
ΔE_f (raw) in eV per formula unit: -6.5

19.
## RbCd2Cl (PBE)

Data for a geometry-optimized RbCd2Cl structure.

a = 5.958 Å, b = 5.958 Å, c = 5.958 Å
α = 60.00°, β = 60.00°, γ = 60.00°
Atoms (fractional coordinates):
Cl  0.000  0.000  0.000
Rb  0.500  0.500  0.500
Cd  0.250  0.250  0.250
Cd  0.750  0.750  0.750

SG: No. 225
Raw total energy in eV per cell: -6.230
ΔE_f (raw) in eV per formula unit: -1.6

20.
## GaFe2SnPt (PBE)

Data for a geometry-optimized GaFe2SnPt structure.

a = 4.856 Å, b = 4.985 Å, c = 4.856 Å
α = 90.00°, β = 90.00°, γ = 90.00°
Site moments in Bohr magnetons follow the coordinates.
Atoms (fractional coordinates):
Ga  0.500  0.500  0.500  -0.03
Sn  0.000  0.500  0.000  0.04
Pt  0.000  0.000  0.000  0.24
Fe  0.000  0.000  0.500  3.51
Fe  0.500  0.000  0.000  3.00

SG: No. 123
Raw total energy in eV per cell: -26.460
ΔE_f in eV per atom: 0.71

21.
## NdTa2O6F (PBE)

Data for a geometry-optimized NdTa2O6F structure.

a = 7.442 Å, b = 7.442 Å, c = 7.442 Å
α = 120.55°, β = 118.60°, γ = 90.74°
Atoms (fractional coordinates):
Nd  0.500  0.500  0.000
Nd  0.000  0.500  0.500
Ta  0.000  0.000  0.000
Ta  0.500  0.000  0.500
Ta  0.500  0.000  0.000
Ta  0.500  0.500  0.500
O  0.197  0.947  0.250
O  0.576  0.326  0.250
O  0.186  0.919  0.863
O  0.556  0.322  0.637
O  0.556  0.919  0.233
O  0.186  0.322  0.267
O  0.803  0.053  0.750
O  0.424  0.674  0.750
O  0.814  0.081  0.137
O  0.444  0.678  0.363
O  0.444  0.081  0.767
O  0.814  0.678  0.733
F  0.865  0.615  0.250
F  0.135  0.385  0.750

SG: No. 74
Raw total energy in eV per cell: -182.728
ΔE_f (raw) in eV per formula unit: -31.3

22.
## In2PbF6 (PBE)

Data for a geometry-optimized In2PbF6 structure.

a = 6.460 Å, b = 7.775 Å, c = 7.775 Å
α = 65.88°, β = 76.16°, γ = 76.16°
Atoms (fractional coordinates):
In  0.231  0.710  0.739
In  0.269  0.261  0.290
In  0.769  0.290  0.261
In  0.731  0.739  0.710
Pb  0.250  0.154  0.846
Pb  0.750  0.846  0.154
F  0.542  0.663  0.557
F  0.958  0.443  0.337
F  0.458  0.337  0.443
F  0.042  0.557  0.663
F  0.796  0.965  0.425
F  0.704  0.575  0.035
F  0.204  0.035  0.575
F  0.296  0.425  0.965
F  0.129  0.838  0.972
F  0.371  0.028  0.162
F  0.871  0.162  0.028
F  0.629  0.972  0.838

SG: No. 15
Raw total energy in eV per cell: -78.950
ΔE_f (raw) in eV per formula unit: -19.1

23.
## Ta2MnGa2Ni7 (PBE)

Data for a geometry-optimized Ta2MnGa2Ni7 structure.

a = 3.314 Å, b = 3.314 Å, c = 14.868 Å
α = 83.58°, β = 83.58°, γ = 90.00°
Site moments in Bohr magnetons follow the coordinates.
Atoms (fractional coordinates):
Ta  0.633  0.633  0.735  -0.06
Ta  0.367  0.367  0.265  -0.06
Mn  0.000  0.000  0.000  2.87
Ga  0.810  0.810  0.380  0.00
Ga  0.190  0.190  0.620  0.00
Ni  0.500  0.500  0.000  0.46
Ni  0.274  0.274  0.452  -0.01
Ni  0.726  0.726  0.548  -0.01
Ni  0.933  0.433  0.133  0.05
Ni  0.433  0.933  0.133  0.05
Ni  0.567  0.067  0.867  0.05
Ni  0.067  0.567  0.867  0.05

SG: No. 139
Raw total energy in eV per cell: -79.413
ΔE_f in eV per atom: 0.00

24.
## CdCo2Br2 (PBE)

Data for a geometry-optimized CdCo2Br2 structure.

a = 6.002 Å, b = 6.002 Å, c = 6.002 Å
α = 134.88°, β = 134.88°, γ = 65.72°
Site moments in Bohr magnetons follow the coordinates.
Atoms (fractional coordinates):
Cd  0.000  0.000  0.000  0.04
Co  0.612  0.612  0.000  2.10
Co  0.388  0.388  0.000  2.10
Br  0.250  0.750  0.500  0.16
Br  0.750  0.250  0.500  0.16

SG: No. 139
Raw total energy in eV per cell: -15.950
ΔE_f (raw) in eV per formula unit: 2.5